No. 1
CaAgPb2: optimized geometry, PBEsol.

Properties
E_form: -0.256 eV/atom
E_tot: -14.465 eV/cell
volume: 24.90 A^3/atom

Cell: 4.7078 4.7078 4.4936 Å, 90.00 90.00 90.00°
With the nearest neighbours (Å) after each atom.
Space group P4/mmm (No. 123)
Asymmetric unit:
Ca 0.0000 0.0000 0.0000 (multiplicity 1)  8 Pb 3.25, 4 Ag 3.33
Ag 0.5000 0.5000 0.0000 (multiplicity 1)  8 Pb 3.25, 4 Ca 3.33
Pb 0.0000 0.5000 0.5000 (multiplicity 2)  4 Ca 3.25, 4 Ag 3.25, 4 Pb 3.33

No. 2
CaAgPb2: optimized geometry, PBEsol.

Properties
E_form: -0.242 eV/atom
E_tot: -28.818 eV/cell
volume: 25.22 A^3/atom

Cell: 4.5889 4.5889 9.5809 Å, 90.00 90.00 90.00°
With the nearest neighbours (Å) after each atom.
Space group I-4m2 (No. 119)
Asymmetric unit:
Ca 0.0000 0.0000 0.0000 (multiplicity 2)  8 Pb 3.24-3.32, 4 Ag 3.32
Ag 0.0000 0.5000 0.7500 (multiplicity 2)  8 Pb 3.24-3.32, 4 Ca 3.32
Pb 0.0000 0.0000 0.5000 (multiplicity 2)  4 Ca 3.24, 4 Pb 3.32, 4 Ag 3.32
Pb 0.0000 0.5000 0.2500 (multiplicity 2)  4 Ag 3.24, 4 Pb 3.32, 4 Ca 3.32

No. 3
CaAg3Pb: optimized geometry, PBEsol.

Properties
E_form: 0.332 eV/atom
E_tot: -14.406 eV/cell
volume: 27.94 A^3/atom

Cell: 5.1885 5.1885 5.1885 Å, 90.00 90.00 90.00°
With the nearest neighbours (Å) after each atom.
Space group Pm-3m (No. 221)
Asymmetric unit:
Ca 0.0000 0.0000 0.0000 (multiplicity 1)  12 Ag 3.67
Ag 0.0000 0.5000 0.5000 (multiplicity 3)  2 Pb 2.59
Pb 0.5000 0.5000 0.5000 (multiplicity 1)  6 Ag 2.59

No. 4
CaAgPb: optimized geometry, PBEsol.

Properties
E_form: -0.401 eV/atom
E_tot: -10.647 eV/cell
volume: 24.48 A^3/atom

Cell: 4.8861 4.8861 3.5520 Å, 90.00 90.00 120.00°
With the nearest neighbours (Å) after each atom.
Space group P-6m2 (No. 187)
Asymmetric unit:
Ca 0.0000 0.0000 0.0000 (multiplicity 1)  6 Ag 3.33, 6 Pb 3.33, 2 Ca 3.55
Ag 0.6667 0.3333 0.5000 (multiplicity 1)  3 Pb 2.82
Pb 0.3333 0.6667 0.5000 (multiplicity 1)  3 Ag 2.82

No. 5
Ca2Ag2Pb: optimized geometry, PBEsol.

Properties
E_form: -0.178 eV/atom
E_tot: -31.557 eV/cell
volume: 27.13 A^3/atom

Cell: 5.7939 5.7939 8.0829 Å, 90.00 90.00 90.00°
With the nearest neighbours (Å) after each atom.
Space group I4/mmm (No. 139)
Asymmetric unit:
Ca 0.0000 0.5000 0.2500 (multiplicity 4)  4 Ag 3.00
Ag 0.0000 0.0000 0.1556 (multiplicity 4)  1 Ag 2.52, 1 Pb 2.78
Pb 0.0000 0.0000 0.5000 (multiplicity 2)  2 Ag 2.78

No. 6
Ca2AgPb: optimized geometry, PBEsol.

Properties
E_form: -0.352 eV/atom
E_tot: -25.970 eV/cell
volume: 26.91 A^3/atom

Cell: 12.1558 3.7836 5.1042 Å, 90.00 113.51 90.00°
With the nearest neighbours (Å) after each atom.
Space group Cm (No. 8)
Asymmetric unit:
Ca 0.0000 0.0000 0.0000 (multiplicity 2)  2 Ag 3.19, 4 Pb 3.25-3.26, 2 Ca 3.46-3.48
Ca 0.2108 0.0000 0.7026 (multiplicity 2)  4 Ag 3.17-3.20, 2 Ca 3.46-3.48, 1 Pb 3.50
Ag 0.2301 0.5000 0.2180 (multiplicity 2)  2 Pb 2.97, 6 Ca 3.17-3.20
Pb 0.4355 0.0000 0.4377 (multiplicity 2)  2 Ag 2.97, 4 Ca 3.25-3.26

No. 7
CaAgPb2: optimized geometry, PBEsol.

Properties
E_form: -0.034 eV/atom
E_tot: -40.730 eV/cell
volume: 27.00 A^3/atom

Cell: 3.6413 3.6413 28.2207 Å, 90.00 90.00 120.00°
With the nearest neighbours (Å) after each atom.
Space group R-3m (No. 166, hexagonal axes)
Asymmetric unit:
Ca 0.0000 0.0000 0.0000 (multiplicity 3)  6 Pb 3.37, 6 Ca 3.64
Ag 0.0000 0.0000 0.5000 (multiplicity 3)  6 Pb 2.95
Pb 0.0000 0.0000 0.2400 (multiplicity 6)  3 Ag 2.95

No. 8
Ca2AgPb: optimized geometry, PBEsol.

Properties
E_form: -0.452 eV/atom
E_tot: -13.385 eV/cell
volume: 26.18 A^3/atom

Cell: 5.3600 5.3600 3.6451 Å, 90.00 90.00 90.00°
With the nearest neighbours (Å) after each atom.
Space group P4/mmm (No. 123)
Asymmetric unit:
Ca 0.0000 0.5000 0.0000 (multiplicity 2)  4 Pb 3.24, 4 Ag 3.24
Ag 0.0000 0.0000 0.5000 (multiplicity 1)  8 Ca 3.24
Pb 0.5000 0.5000 0.5000 (multiplicity 1)  8 Ca 3.24

No. 9
Ca2AgPd: optimized geometry, PBEsol.

Properties
E_form: -0.454 eV/atom
E_tot: -61.408 eV/cell
volume: 22.29 A^3/atom

Cell: 7.0919 7.0919 7.0919 Å, 90.00 90.00 90.00°
With the nearest neighbours (Å) after each atom.
Space group Fm-3m (No. 225)
Asymmetric unit:
Ca 0.2500 0.2500 0.2500 (multiplicity 8)  4 Ag 3.07, 4 Pd 3.07
Ag 0.0000 0.0000 0.0000 (multiplicity 4)  8 Ca 3.07
Pd 0.0000 0.0000 0.5000 (multiplicity 4)  8 Ca 3.07

No. 10
CaPmAg2: optimized geometry, PBEsol.

Properties
E_form: -0.286 eV/atom
E_tot: -60.139 eV/cell
volume: 23.93 A^3/atom

Cell: 7.2614 7.2614 7.2614 Å, 90.00 90.00 90.00°
With the nearest neighbours (Å) after each atom.
Space group Fm-3m (No. 225)
Asymmetric unit:
Ca 0.0000 0.0000 0.0000 (multiplicity 4)  8 Ag 3.14
Pm 0.0000 0.0000 0.5000 (multiplicity 4)  8 Ag 3.14
Ag 0.2500 0.2500 0.2500 (multiplicity 8)  4 Ca 3.14, 4 Pm 3.14

No. 11
CaPrAg2: optimized geometry, PBEsol.

Properties
E_form: -0.282 eV/atom
E_tot: -60.277 eV/cell
volume: 24.53 A^3/atom

Cell: 7.3211 7.3211 7.3211 Å, 90.00 90.00 90.00°
With the nearest neighbours (Å) after each atom.
Space group Fm-3m (No. 225)
Asymmetric unit:
Ca 0.0000 0.0000 0.0000 (multiplicity 4)  8 Ag 3.17
Pr 0.0000 0.0000 0.5000 (multiplicity 4)  8 Ag 3.17
Ag 0.2500 0.2500 0.2500 (multiplicity 8)  4 Pr 3.17, 4 Ca 3.17

No. 12
CaAgPt2: optimized geometry, PBEsol.

Properties
E_form: -0.294 eV/atom
E_tot: -20.548 eV/cell
volume: 17.27 A^3/atom

Cell: 2.9359 2.9359 8.0139 Å, 90.00 90.00 90.00°
With the nearest neighbours (Å) after each atom.
Space group P4/mmm (No. 123)
Asymmetric unit:
Ca 0.0000 0.0000 0.0000 (multiplicity 1)  4 Ca 2.94, 8 Pt 2.95
Ag 0.0000 0.0000 0.5000 (multiplicity 1)  8 Pt 2.82, 4 Ag 2.94
Pt 0.5000 0.5000 0.2612 (multiplicity 2)  4 Ag 2.82, 4 Pt 2.94, 4 Ca 2.95